(1)
The following is a GGA-PBE calculation of a relaxed structure of AlHgGe2Cl, from Alexandria.

## Properties
Formation energy (no corrections) (eV per atom): 0.67
Magnetic moment (μB per cell): 0.0
Crystal system: tetragonal

Cell: 5.402 5.402 4.980 Å, 90.00 90.00 90.00°
Positions (direct):
1 Al 0.000 0.000 0.000
2 Hg 0.000 0.000 0.500
3 Ge 0.000 0.500 0.500
4 Ge 0.500 0.000 0.500
5 Cl 0.500 0.500 0.000



(2)
The following is a GGA-PBE calculation of a relaxed structure of La2MgAu, from Alexandria.

## Properties
Magnetic moment (μB per cell): 0.2
DFT formation energy (eV per atom): -0.399
Crystal system: tetragonal

Cell: 5.366 5.366 3.971 Å, 90.00 90.00 90.00°
Positions (direct):
1 La 0.000 0.500 0.000
2 La 0.500 0.000 0.000
3 Mg 0.000 0.000 0.500
4 Au 0.500 0.500 0.500



(3)
The following is a GGA-PBE calculation of a relaxed structure of MnCo2B2, from Alexandria.

## Properties
Magnetic moment (μB per cell): 6.8
DFT formation energy (eV per atom): -0.173
Crystal system: tetragonal

Cell: 5.784 5.784 2.560 Å, 90.00 90.00 90.00°
Positions (direct):
1 Mn 0.000 0.000 0.000
2 Mn 0.500 0.500 0.000
3 Co 0.157 0.343 0.500
4 Co 0.343 0.843 0.500
5 Co 0.657 0.157 0.500
6 Co 0.843 0.657 0.500
7 B 0.134 0.634 0.000
8 B 0.366 0.134 0.000
9 B 0.634 0.866 0.000
10 B 0.866 0.366 0.000



(4)
The following is a GGA-PBE calculation of a relaxed structure of K3Tm2HfS6, from Alexandria.

## Properties
Formation energy (no corrections) (eV per atom): -1.72
Magnetic moment (μB per cell): 0.0
Crystal system: monoclinic

Cell: 6.755 6.755 7.713 Å, 98.41 98.41 120.00°
Positions (direct):
1 K 0.000 0.000 0.000
2 K 0.330 0.670 0.000
3 K 0.670 0.330 0.000
4 Tm 0.166 0.834 0.500
5 Tm 0.834 0.166 0.500
6 Hf 0.500 0.500 0.500
7 S 0.113 0.434 0.301
8 S 0.247 0.247 0.700
9 S 0.434 0.113 0.301
10 S 0.566 0.887 0.699
11 S 0.753 0.753 0.300
12 S 0.887 0.566 0.699



Number 1: DOS(E_F) 0.5606 states/eV/atom. Number 2: DOS(E_F) 1.0555 states/eV/atom. Number 3: DOS(E_F) 1.0094 states/eV/atom. Number 4: DOS(E_F) 0.3102 states/eV/atom.